No. 1
This record from Alexandria via LeMat-Bulk describes a geometry-optimized KNdY2Se4 structure. The functional is PBE-GGA.

Results
Total DFT energy (no corrections), eV/cell: -46.710
Theoretical density, g/cm3: 5.3
V, Å³ per cell: 213.6
E_form (uncorrected), eV per atom: -1.75

The structure in CIF format:
```
data_KNdY2Se4
_space_group_name_H-M_alt 'P 1'
_space_group_IT_number 1
_space_group_name_Hall 'P 1'
_cell_length_a 4.1473
_cell_length_b 7.4027
_cell_length_c 7.3345
_cell_angle_alpha 71.58
_cell_angle_beta 90.00
_cell_angle_gamma 90.00
loop_
_atom_site_label
_atom_site_type_symbol
_atom_site_fract_x
_atom_site_fract_y
_atom_site_fract_z
_atom_site_occupancy
K1 K 0.0000 0.5000 0.5000 1
Nd1 Nd 0.5000 0.5000 0.0000 1
Y1 Y 0.0000 0.0000 0.0000 1
Y2 Y 0.5000 0.0000 0.5000 1
Se1 Se 0.0000 0.7659 0.7491 1
Se2 Se 0.0000 0.2341 0.2509 1
Se3 Se 0.5000 0.7734 0.2349 1
Se4 Se 0.5000 0.2266 0.7651 1
```

---

No. 2
This record from Alexandria via LeMat-Bulk describes a geometry-optimized KNd2YSe4 structure. The functional is PBE-GGA.

Results
Total DFT energy (no corrections), eV/cell: -44.888
Theoretical density, g/cm3: 5.5
V, Å³ per cell: 219.5
E_form (uncorrected), eV per atom: -1.73

The structure in CIF format:
```
data_KNd2YSe4
_space_group_name_H-M_alt 'P 1'
_space_group_IT_number 1
_space_group_name_Hall 'P 1'
_cell_length_a 4.2104
_cell_length_b 7.3991
_cell_length_c 7.4349
_cell_angle_alpha 71.37
_cell_angle_beta 90.00
_cell_angle_gamma 90.00
loop_
_atom_site_label
_atom_site_type_symbol
_atom_site_fract_x
_atom_site_fract_y
_atom_site_fract_z
_atom_site_occupancy
K1 K 0.5000 0.5000 0.0000 1
Nd1 Nd 0.0000 0.0000 0.0000 1
Nd2 Nd 0.5000 0.0000 0.5000 1
Y1 Y 0.0000 0.5000 0.5000 1
Se1 Se 0.0000 0.7574 0.7338 1
Se2 Se 0.0000 0.2427 0.2661 1
Se3 Se 0.5000 0.7449 0.2622 1
Se4 Se 0.5000 0.2551 0.7378 1
```

---

No. 3
This record from Alexandria via LeMat-Bulk describes a geometry-optimized K3Nd3YSe8 structure. The functional is PBE-GGA.

Results
Total DFT energy (no corrections), eV/cell: -76.885
Theoretical density, g/cm3: 4.2
V, Å³ per cell: 498.8
E_form (uncorrected), eV per atom: -1.66

The structure in CIF format:
```
data_K3Nd3YSe8
_space_group_name_H-M_alt 'P 1'
_space_group_IT_number 1
_space_group_name_Hall 'P 1'
_cell_length_a 8.5678
_cell_length_b 8.5730
_cell_length_c 9.2738
_cell_angle_alpha 117.57
_cell_angle_beta 90.00
_cell_angle_gamma 119.98
loop_
_atom_site_label
_atom_site_type_symbol
_atom_site_fract_x
_atom_site_fract_y
_atom_site_fract_z
_atom_site_occupancy
K1 K 0.0000 0.0000 0.0000 1
K2 K 0.0000 0.5000 0.0000 1
K3 K 0.5000 0.5000 0.0000 1
Nd1 Nd 0.5000 0.0000 0.5000 1
Nd2 Nd 0.5000 0.5000 0.5000 1
Nd3 Nd 0.0000 0.5000 0.5000 1
Y1 Y 0.0000 0.0000 0.5000 1
Se1 Se 0.2627 0.5254 0.2882 1
Se2 Se 0.7373 0.4746 0.7118 1
Se3 Se 0.7693 0.5386 0.2959 1
Se4 Se 0.2307 0.4614 0.7041 1
Se5 Se 0.7693 0.0265 0.2959 1
Se6 Se 0.2307 0.9735 0.7041 1
Se7 Se 0.2573 0.0265 0.2959 1
Se8 Se 0.7427 0.9735 0.7041 1
```

---

No. 4
This record from Alexandria via LeMat-Bulk describes a geometry-optimized K4NdY3Se8 structure. The functional is PBE-GGA.

Results
Total DFT energy (no corrections), eV/cell: -84.679
Theoretical density, g/cm3: 4.1
V, Å³ per cell: 481.5
E_form (uncorrected), eV per atom: -1.77

The structure in CIF format:
```
data_K4NdY3Se8
_space_group_name_H-M_alt 'P 1'
_space_group_IT_number 1
_space_group_name_Hall 'P 1'
_cell_length_a 8.5021
_cell_length_b 9.1254
_cell_length_c 8.5026
_cell_angle_alpha 117.78
_cell_angle_beta 120.00
_cell_angle_gamma 90.00
loop_
_atom_site_label
_atom_site_type_symbol
_atom_site_fract_x
_atom_site_fract_y
_atom_site_fract_z
_atom_site_occupancy
K1 K 0.5000 0.0000 0.0000 1
K2 K 0.5000 0.0000 0.5000 1
K3 K 0.0000 0.0000 0.0000 1
K4 K 0.0000 0.0000 0.5000 1
Nd1 Nd 0.0000 0.5000 0.0000 1
Y1 Y 0.5000 0.5000 0.0000 1
Y2 Y 0.5000 0.5000 0.5000 1
Y3 Y 0.0000 0.5000 0.5000 1
Se1 Se 0.2393 0.7076 0.9685 1
Se2 Se 0.2393 0.7075 0.4786 1
Se3 Se 0.2651 0.2954 0.5301 1
Se4 Se 0.7291 0.7076 0.9685 1
Se5 Se 0.2709 0.2924 0.0315 1
Se6 Se 0.7349 0.7046 0.4699 1
Se7 Se 0.7607 0.2925 0.5214 1
Se8 Se 0.7607 0.2924 0.0315 1
```

---

No. 5
This record from Alexandria via LeMat-Bulk describes a geometry-optimized K3NdY2Se6 structure. The functional is PBE-GGA.

Results
Total DFT energy (no corrections), eV/cell: -63.072
Theoretical density, g/cm3: 4.2
V, Å³ per cell: 363.1
E_form (uncorrected), eV per atom: -1.76

The structure in CIF format:
```
data_K3NdY2Se6
_space_group_name_H-M_alt 'P 1'
_space_group_IT_number 1
_space_group_name_Hall 'P 1'
_cell_length_a 7.3816
_cell_length_b 7.3816
_cell_length_c 8.0786
_cell_angle_alpha 98.76
_cell_angle_beta 98.76
_cell_angle_gamma 120.01
loop_
_atom_site_label
_atom_site_type_symbol
_atom_site_fract_x
_atom_site_fract_y
_atom_site_fract_z
_atom_site_occupancy
K1 K 0.1654 0.8346 0.5000 1
K2 K 0.8346 0.1654 0.5000 1
K3 K 0.5000 0.5000 0.5000 1
Nd1 Nd 0.0000 0.0000 0.0000 1
Y1 Y 0.3332 0.6668 0.0000 1
Y2 Y 0.6668 0.3332 0.0000 1
Se1 Se 0.9308 0.5900 0.7927 1
Se2 Se 0.7282 0.7282 0.2072 1
Se3 Se 0.0692 0.4100 0.2073 1
Se4 Se 0.5900 0.9308 0.7927 1
Se5 Se 0.2718 0.2718 0.7928 1
Se6 Se 0.4100 0.0692 0.2073 1
```

---

No. 6
This record from Alexandria via LeMat-Bulk describes a geometry-optimized K2NdYSe4 structure. The functional is PBE-GGA.

Results
Total DFT energy (no corrections), eV/cell: -41.446
Theoretical density, g/cm3: 4.3
V, Å³ per cell: 244.8
E_form (uncorrected), eV per atom: -1.76

The structure in CIF format:
```
data_K2NdYSe4
_space_group_name_H-M_alt 'P 1'
_space_group_IT_number 1
_space_group_name_Hall 'P 1'
_cell_length_a 4.2855
_cell_length_b 7.4204
_cell_length_c 8.0852
_cell_angle_alpha 107.80
_cell_angle_beta 90.00
_cell_angle_gamma 90.00
loop_
_atom_site_label
_atom_site_type_symbol
_atom_site_fract_x
_atom_site_fract_y
_atom_site_fract_z
_atom_site_occupancy
K1 K 0.5000 0.0000 0.5000 1
K2 K 0.0000 0.5000 0.5000 1
Nd1 Nd 0.5000 0.5000 0.0000 1
Y1 Y 0.0000 0.0000 0.0000 1
Se1 Se 0.5000 0.2288 0.2066 1
Se2 Se 0.5000 0.7712 0.7934 1
Se3 Se 0.0000 0.2566 0.7903 1
Se4 Se 0.0000 0.7434 0.2097 1
```

---

No. 7
This record from Alexandria via LeMat-Bulk describes a geometry-optimized K4Nd3ZrSe8 structure. The functional is PBE-GGA.

Results
Total DFT energy (no corrections), eV/cell: -81.077
Theoretical density, g/cm3: 4.5
V, Å³ per cell: 481.7
E_form (uncorrected), eV per atom: -1.62

The structure in CIF format:
```
data_K4Nd3ZrSe8
_space_group_name_H-M_alt 'P 1'
_space_group_IT_number 1
_space_group_name_Hall 'P 1'
_cell_length_a 8.4846
_cell_length_b 9.1504
_cell_length_c 8.4839
_cell_angle_alpha 117.64
_cell_angle_beta 120.00
_cell_angle_gamma 90.00
loop_
_atom_site_label
_atom_site_type_symbol
_atom_site_fract_x
_atom_site_fract_y
_atom_site_fract_z
_atom_site_occupancy
K1 K 0.5000 0.0000 0.0000 1
K2 K 0.5000 0.0000 0.5000 1
K3 K 0.0000 0.0000 0.0000 1
K4 K 0.0000 0.0000 0.5000 1
Nd1 Nd 0.5000 0.5000 0.0000 1
Nd2 Nd 0.5000 0.5000 0.5000 1
Nd3 Nd 0.0000 0.5000 0.5000 1
Zr1 Zr 0.0000 0.5000 0.0000 1
Se1 Se 0.2259 0.7067 0.9809 1
Se2 Se 0.2259 0.7068 0.4518 1
Se3 Se 0.2612 0.2838 0.5225 1
Se4 Se 0.7550 0.7067 0.9809 1
Se5 Se 0.2450 0.2933 0.0191 1
Se6 Se 0.7388 0.7162 0.4775 1
Se7 Se 0.7741 0.2932 0.5482 1
Se8 Se 0.7741 0.2933 0.0191 1
```

---

No. 8
This record from Alexandria via LeMat-Bulk describes a geometry-optimized K2Nd2ZrSe6 structure. The functional is PBE-GGA.

Results
Total DFT energy (no corrections), eV/cell: -59.074
Theoretical density, g/cm3: 4.3
V, Å³ per cell: 357.0
E_form (uncorrected), eV per atom: -1.63

The structure in CIF format:
```
data_K2Nd2ZrSe6
_space_group_name_H-M_alt 'P 1'
_space_group_IT_number 1
_space_group_name_Hall 'P 1'
_cell_length_a 7.2236
_cell_length_b 7.2236
_cell_length_c 8.2329
_cell_angle_alpha 98.76
_cell_angle_beta 98.76
_cell_angle_gamma 119.36
loop_
_atom_site_label
_atom_site_type_symbol
_atom_site_fract_x
_atom_site_fract_y
_atom_site_fract_z
_atom_site_occupancy
K1 K 0.8289 0.1711 0.0000 1
K2 K 0.1711 0.8289 0.0000 1
Nd1 Nd 0.3333 0.6667 0.5000 1
Nd2 Nd 0.6667 0.3333 0.5000 1
Zr1 Zr 0.0000 0.0000 0.5000 1
Se1 Se 0.7613 0.7613 0.7010 1
Se2 Se 0.0699 0.3804 0.7028 1
Se3 Se 0.2387 0.2387 0.2990 1
Se4 Se 0.3804 0.0699 0.7028 1
Se5 Se 0.9301 0.6196 0.2972 1
Se6 Se 0.6196 0.9301 0.2972 1
```